# 1
# Ho2ErTh PBE relaxed
data_Ho2ErTh
_chemical_formula_sum 'Ho6 Er3 Th3'
_cell_length_a 3.5507
_cell_length_b 3.5507
_cell_length_c 34.3940
_cell_angle_alpha 90.00
_cell_angle_beta 90.00
_cell_angle_gamma 120.00
_symmetry_space_group_name_H-M 'R -3 m'
_symmetry_Int_Tables_number 166
_symmetry_space_group_name_Hall '-R 3 2"'
loop_
_atom_site_label
_atom_site_fract_x
_atom_site_fract_y
_atom_site_fract_z
_atom_site_occupancy
Ho1 0.0000 0.0000 0.2492 1
Er1 0.0000 0.0000 0.0000 1
Th1 0.0000 0.0000 0.5000 1
# energy above the most stable polymorph in this dataset: 0 meV/atom
# DFT total energy: -5.26 eV/atom
# ΔH_f (0 K): 0.025 eV per atom

=====

# 2
# Ho3Er5Th3 PBE relaxed
data_Ho3Er5Th3
_chemical_formula_sum 'Ho3 Er5 Th3'
_cell_length_a 11.0908
_cell_length_b 11.0908
_cell_length_c 3.4150
_cell_angle_alpha 90.00
_cell_angle_beta 90.00
_cell_angle_gamma 120.00
_symmetry_space_group_name_H-M 'P -6 2 m'
_symmetry_Int_Tables_number 189
_symmetry_space_group_name_Hall 'P -6 -2'
loop_
_atom_site_label
_atom_site_fract_x
_atom_site_fract_y
_atom_site_fract_z
_atom_site_occupancy
Ho1 0.0000 0.8393 0.0000 1
Er1 0.0000 0.3404 0.0000 1
Er2 0.3333 0.6667 0.0000 1
Th1 0.0000 0.5954 0.5000 1
# energy above the most stable polymorph in this dataset: 0 meV/atom
# DFT total energy: -4.94 eV/atom
# ΔH_f (0 K): 0.405 eV per atom

=====

# 3
# Ho7Er3Th2 PBE relaxed
data_Ho7Er3Th2
_chemical_formula_sum 'Ho7 Er3 Th2'
_cell_length_a 3.613
_cell_length_b 5.532
_cell_length_c 20.459
_cell_angle_alpha 90.00
_cell_angle_beta 95.12
_cell_angle_gamma 90.00
_symmetry_space_group_name_H-M 'P 1 2/m 1'
_symmetry_Int_Tables_number 10
loop_
_symmetry_equiv_pos_as_xyz
'x,y,z'
'-x,-y,-z'
'-x,y,-z'
'x,-y,z'
loop_
_atom_site_label
_atom_site_fract_x
_atom_site_fract_y
_atom_site_fract_z
_atom_site_occupancy
Ho1 0.000 0.000 0.000 1
Ho2 0.067 0.500 0.131 1
Ho3 0.286 0.500 0.571 1
Ho4 0.414 0.000 0.832 1
Er1 0.171 0.000 0.339 1
Er2 0.500 0.500 0.000 1
Th1 0.361 0.500 0.725 1
# DFT total energy: -4.76 eV/atom
# ΔH_f (0 K): 0.284 eV per atom

=====

# 4
# Ho4Er3Th2 PBE relaxed
data_Ho4Er3Th2
_chemical_formula_sum 'Ho16 Er12 Th8'
_cell_length_a 16.071
_cell_length_b 11.619
_cell_length_c 6.087
_cell_angle_alpha 90.00
_cell_angle_beta 97.47
_cell_angle_gamma 90.00
_symmetry_space_group_name_H-M 'C 1 2/c 1'
_symmetry_Int_Tables_number 15
loop_
_symmetry_equiv_pos_as_xyz
'x,y,z'
'-x,-y,-z'
'-x,y,-z+1/2'
'x,-y,z+1/2'
'x+1/2,y+1/2,z'
'-x+1/2,-y+1/2,-z'
'-x+1/2,y+1/2,-z+1/2'
'x+1/2,-y+1/2,z+1/2'
loop_
_atom_site_label
_atom_site_fract_x
_atom_site_fract_y
_atom_site_fract_z
_atom_site_occupancy
Ho1 0.049 0.137 0.018 1
Ho2 0.218 0.363 0.846 1
Er1 0.000 0.391 0.750 1
Er2 0.167 0.105 0.587 1
Th1 0.113 0.362 0.313 1
# energy above the most stable polymorph in this dataset: 89 meV/atom
# DFT total energy: -5.09 eV/atom
# ΔH_f (0 K): 0.118 eV per atom

=====

# 5
# Ho5Er3Th PBE relaxed
data_Ho5Er3Th
_chemical_formula_sum 'Ho20 Er12 Th4'
_cell_length_a 7.757
_cell_length_b 7.757
_cell_length_c 19.101
_cell_angle_alpha 90.00
_cell_angle_beta 90.00
_cell_angle_gamma 90.00
_symmetry_space_group_name_H-M 'I 4/m c m'
_symmetry_Int_Tables_number 140
_symmetry_space_group_name_Hall '-I 4 2c'
loop_
_atom_site_label
_atom_site_fract_x
_atom_site_fract_y
_atom_site_fract_z
_atom_site_occupancy
Ho1 0.000 0.000 0.000 1
Ho2 0.205 0.295 0.130 1
Er1 0.000 0.000 0.250 1
Er2 0.130 0.370 0.500 1
Th1 0.000 0.500 0.250 1
# DFT total energy: -4.56 eV/atom
# ΔH_f (0 K): 0.324 eV per atom

=====

# 6
# Ho3Er3Th2 PBE relaxed
data_Ho3Er3Th2
_chemical_formula_sum 'Ho6 Er6 Th4'
_cell_length_a 5.004
_cell_length_b 5.004
_cell_length_c 20.043
_cell_angle_alpha 90.00
_cell_angle_beta 90.00
_cell_angle_gamma 90.00
_symmetry_space_group_name_H-M 'I m m m'
_symmetry_Int_Tables_number 71
_symmetry_space_group_name_Hall '-I 2 2'
loop_
_atom_site_label
_atom_site_fract_x
_atom_site_fract_y
_atom_site_fract_z
_atom_site_occupancy
Ho1 0.000 0.000 0.000 1
Ho2 0.000 0.500 0.127 1
Er1 0.000 0.000 0.500 1
Er2 0.000 0.500 0.373 1
Th1 0.000 0.000 0.250 1
# energy above the most stable polymorph in this dataset: 0 meV/atom
# DFT total energy: -5.26 eV/atom
# ΔH_f (0 K): 0.022 eV per atom